Pr2Si3Pt3 (PBE, optimized geometry); formation energy (no corrections) = 0.405 eV/atom; density = 9.1 g/cm3; symmetry = No. 123
1.0
2.8932 0.0000 0.0000
0.0000 2.8932 0.0000
0.0000 0.0000 20.7338
Si Pr Pt
3 2 3
Direct
0.5000 0.5000 0.0000
0.5000 0.5000 0.6123
0.5000 0.5000 0.3877
0.5000 0.5000 0.2480
0.5000 0.5000 0.7520
0.5000 0.5000 0.5000
0.5000 0.5000 0.8895
0.5000 0.5000 0.1105

AlRu2W (PBE, optimized geometry); density = 11.8 g/cm3; formation energy from the elements = -0.16 eV/atom; symmetry = No. 119
1.0
4.9887 0.0003 0.0000
2.2440 4.4555 0.0000
-3.6164 -2.2279 2.6164
Al Ru W
1 2 1
Direct
0.7500 0.2500 0.5000
0.2500 0.7500 0.5000
0.0000 0.0000 0.0000
0.5000 0.5000 0.0000

Calculated raw total energy in order - -5.089, -8.970 eV per atom